Entry 1:
## BaSr2Rh (SCAN)

Data for BaSr2Rh at its PBEsol-relaxed geometry.

## Properties
* formation energy from the elements: -0.5 eV per formula unit
* M_tot: 0.01 μB per formula unit
* E: -29.592 eV per atom
* polymorph energy (0 for the lowest one): 0 meV/atom

```
BaSr2Rh
1.0
4.2669 0.0000 0.0000
0.0000 6.1715 -0.0817
0.0000 -3.0007 6.5366
Sr Ba Rh
2 1 1
Direct
0.0000 0.6500 0.8000
0.0000 0.3500 0.2000
0.5000 0.0000 0.5000
0.5000 0.5000 0.5000
```

Entry 2:
## BaSrRh (SCAN)

Data for BaSrRh at its PBEsol-relaxed geometry.

## Properties
* formation energy from the elements: -0.4 eV per formula unit
* M_tot: 0.00 μB per formula unit
* E: -31.996 eV per atom
* polymorph energy (0 for the lowest one): 0 meV/atom

```
BaSrRh
1.0
-3.3840 0.4754 -3.8913
-0.8270 -3.9766 -3.2128
-4.4988 -2.5605 0.1534
Sr Rh Ba
1 1 1
Direct
0.0000 0.0000 0.0000
0.2500 0.2500 0.2500
0.5000 0.5000 0.5000
```

Entry 3:
## BaSrRh (SCAN)

Data for BaSrRh at its PBEsol-relaxed geometry.

## Properties
* formation energy from the elements: -0.3 eV per formula unit
* M_tot: 0.00 μB per formula unit
* E: -31.974 eV per atom
* polymorph energy (0 for the lowest one): 22 meV/atom

```
BaSrRh
1.0
4.3634 0.0000 0.0000
-2.1817 3.7788 0.0000
0.0000 0.0000 6.9296
Rh Ba Sr
1 1 1
Direct
0.3333 0.6667 0.6629
0.0000 0.0000 0.8951
0.6667 0.3333 0.4421
```

Entry 4:
## BaSr2TaRh (SCAN)

Data for BaSr2TaRh at its PBEsol-relaxed geometry.

## Properties
* formation energy from the elements: 2.9 eV per formula unit
* M_tot: 0.80 μB per formula unit
* E: -36.304 eV per atom

```
BaSr2TaRh
1.0
4.7232 0.0000 0.0000
0.0000 6.0278 0.0000
0.0000 0.0000 6.0278
Sr Ba Ta Rh
2 1 1 1
Direct
0.0000 0.0000 0.5000
0.0000 0.5000 0.0000
0.5000 0.5000 0.5000
0.0000 0.0000 0.0000
0.5000 0.0000 0.0000
```

Entry 5:
## BaSr2TiRh (SCAN)

Data for BaSr2TiRh at its PBEsol-relaxed geometry.

## Properties
* formation energy from the elements: 8.2 eV per formula unit
* M_tot: 0.96 μB per formula unit
* E: -25.142 eV per atom

```
BaSr2TiRh
1.0
4.8747 0.0000 0.0000
0.0000 5.8285 0.0000
0.0000 0.0000 5.8285
Ti Rh Sr Ba
1 1 2 1
Direct
0.5000 0.0000 0.0000
0.5000 0.5000 0.5000
0.0000 0.0000 0.5000
0.0000 0.5000 0.0000
0.0000 0.0000 0.0000
```

Entry 6:
## BaTa2Rh (SCAN)

Data for BaTa2Rh at its PBEsol-relaxed geometry.

## Properties
* formation energy from the elements: 0.9 eV per formula unit
* M_tot: 0.00 μB per formula unit
* E: -51.395 eV per atom
* polymorph energy (0 for the lowest one): 0 meV/atom

```
BaTa2Rh
1.0
-0.5863 0.6397 3.0255
1.1601 -2.8090 0.8188
7.9951 3.5355 0.8018
Ta Rh Ba
2 1 1
Direct
0.5000 0.5000 0.9726
0.0000 0.0000 0.1842
0.0000 0.0000 0.8184
0.5000 0.5000 0.5247
```

Entry 7:
## BaTa2Rh (SCAN)

Data for BaTa2Rh at its PBEsol-relaxed geometry.

## Properties
* formation energy from the elements: 2.1 eV per formula unit
* M_tot: 0.00 μB per formula unit
* E: -51.107 eV per atom
* polymorph energy (0 for the lowest one): 288 meV/atom

```
BaTa2Rh
1.0
3.3207 0.0000 0.0000
0.0000 3.3207 0.0000
0.0000 0.0000 7.9680
Ba Ta Rh
1 2 1
Direct
0.5000 0.5000 0.0000
0.0000 0.0000 0.3354
0.0000 0.0000 0.6646
0.5000 0.5000 0.5000
```

Entry 8:
## BaTa2Rh (SCAN)

Data for BaTa2Rh at its PBEsol-relaxed geometry.

## Properties
* formation energy from the elements: 3.0 eV per formula unit
* M_tot: 0.00 μB per formula unit
* E: -50.864 eV per atom
* polymorph energy (0 for the lowest one): 531 meV/atom

```
BaTa2Rh
1.0
-0.7274 -0.5493 2.8835
-2.3488 -1.7896 0.6524
5.3075 -9.0860 1.1938
Ta Rh Ba
2 1 1
Direct
0.7332 0.7332 0.8003
0.2668 0.2668 0.1997
0.0000 0.0000 0.0000
0.5000 0.5000 0.5000
```

Entry 9:
## Ba2TcRh (SCAN)

Data for Ba2TcRh at its PBEsol-relaxed geometry.

## Properties
* formation energy from the elements: 3.2 eV per formula unit
* M_tot: 2.87 μB per formula unit
* E: -36.172 eV per atom
* polymorph energy (0 for the lowest one): 0 meV/atom

```
Ba2TcRh
1.0
3.4540 0.0000 0.0325
0.0000 3.4546 0.0000
-0.0790 0.0000 8.6025
Tc Ba Rh
1 2 1
Direct
0.5000 0.5000 0.5000
0.0000 0.0000 0.7659
0.0000 0.0000 0.2341
0.5000 0.5000 0.0000
```

Entry 10:
## Ba2TcRh (SCAN)

Data for Ba2TcRh at its PBEsol-relaxed geometry.

## Properties
* formation energy from the elements: 4.1 eV per formula unit
* M_tot: 2.33 μB per formula unit
* E: -35.966 eV per atom
* polymorph energy (0 for the lowest one): 206 meV/atom

```
Ba2TcRh
1.0
3.5109 0.0000 0.0000
1.7554 3.0405 0.0000
1.7554 1.0135 9.4483
Ba Rh Tc
2 1 1
Direct
0.7536 0.7536 0.7391
0.2464 0.2464 0.2609
0.5000 0.5000 0.5000
0.0000 0.0000 0.0000
```

Entry 11:
## Ba2TeRh (SCAN)

Data for Ba2TeRh at its PBEsol-relaxed geometry.

## Properties
* M_tot: 0.86 μB per formula unit
* E: -38.352 eV per atom
* E_form (uncorrected): -821.2 meV per atom

```
Ba2TeRh
1.0
-0.8808 -4.2029 -1.9517
3.7327 -1.8307 2.2577
-3.0254 0.6967 5.5649
Rh Ba Te
1 2 1
Direct
0.5768 0.3752 0.1537
0.9806 0.8741 0.9613
0.2597 0.3753 0.5195
0.6828 0.8753 0.3656
```

Entry 12:
## BaTe2Rh (SCAN)

Data for BaTe2Rh at its PBEsol-relaxed geometry.

## Properties
* M_tot: 0.00 μB per formula unit
* E: -37.876 eV per atom
* E_form (uncorrected): -920.3 meV per atom
* polymorph energy (0 for the lowest one): 0 meV/atom

```
BaTe2Rh
1.0
-0.4313 -1.5916 3.7799
-4.5651 -2.4643 -1.5586
4.1039 -3.4016 -0.9640
Ba Te Rh
1 2 1
Direct
0.5000 0.5000 0.5000
0.0000 0.8162 0.1838
0.0000 0.1838 0.8162
0.5000 0.0000 0.0000
```

Entry 13:
## BaTe2Rh (SCAN)

Data for BaTe2Rh at its PBEsol-relaxed geometry.

## Properties
* M_tot: 0.81 μB per formula unit
* E: -37.461 eV per atom
* E_form (uncorrected): -505.2 meV per atom
* polymorph energy (0 for the lowest one): 415 meV/atom

```
BaTe2Rh
1.0
-3.5501 0.3952 1.8748
-1.1086 -2.6784 2.8056
2.5384 4.4991 8.1985
Ba Te Rh
1 2 1
Direct
0.0000 0.0000 0.0000
0.1210 0.1210 0.6369
0.8790 0.8790 0.3631
0.5000 0.5000 0.5000
```

Entry 14:
## BaTe2Rh (SCAN)

Data for BaTe2Rh at its PBEsol-relaxed geometry.

## Properties
* M_tot: 0.04 μB per formula unit
* E: -37.819 eV per atom
* E_form (uncorrected): -862.6 meV per atom
* polymorph energy (0 for the lowest one): 58 meV/atom

```
BaTe2Rh
1.0
4.0360 0.0000 0.0000
0.0000 5.8418 -0.0171
-2.0180 -2.4223 5.0709
Te Rh Ba
2 1 1
Direct
0.9074 0.8342 0.8147
0.7346 0.1683 0.4693
0.3108 0.9754 0.6217
0.5472 0.5221 0.0944
```

Entry 15:
## BaTe2Rh2 (SCAN)

Data for BaTe2Rh2 at its PBEsol-relaxed geometry.

## Properties
* M_tot: 0.00 μB per formula unit
* E: -37.010 eV per atom
* E_form (uncorrected): -690.8 meV per atom

```
BaTe2Rh2
1.0
4.9022 0.0000 0.0000
0.0000 4.9022 0.0000
-2.4511 -2.4511 4.8735
Te Rh Ba
2 2 1
Direct
0.7500 0.2500 0.5000
0.2500 0.7500 0.5000
0.6428 0.6428 0.2857
0.3572 0.3572 0.7143
0.0000 0.0000 0.0000
```

Entry 16:
## BaTe2Rh (SCAN)

Data for BaTe2Rh at its PBEsol-relaxed geometry.

## Properties
* M_tot: 0.68 μB per formula unit
* E: -37.838 eV per atom
* E_form (uncorrected): -881.6 meV per atom
* polymorph energy (0 for the lowest one): 39 meV/atom

```
BaTe2Rh
1.0
4.0193 0.0000 0.0000
2.0096 5.5415 0.0118
2.0096 1.9171 5.1993
Rh Te Ba
1 2 1
Direct
0.0000 0.5000 0.5000
0.3186 0.6814 0.6814
0.6814 0.3186 0.3186
0.5000 0.0000 0.0000
```

Entry 17:
## BaTiRh3 (SCAN)

Data for BaTiRh3 at its PBEsol-relaxed geometry.

## Properties
* formation energy from the elements: 0.0 eV per formula unit
* M_tot: 0.00 μB per formula unit
* E: -31.385 eV per atom

```
BaTiRh3
1.0
-3.7812 0.9174 2.5771
0.2173 -4.2821 1.8431
2.7268 1.6133 3.4267
Ti Rh Ba
1 3 1
Direct
0.0000 0.0000 0.0000
0.5000 0.0000 0.0000
0.0000 0.0000 0.5000
0.0000 0.5000 0.0000
0.5000 0.5000 0.5000
```

Entry 18:
## BaTl3Rh (SCAN)

Data for BaTl3Rh at its PBEsol-relaxed geometry.

## Properties
* formation energy from the elements: -1.4 eV per formula unit
* M_tot: 0.00 μB per formula unit
* E: -58.355 eV per atom

```
BaTl3Rh
1.0
-4.1230 -2.6154 -1.8544
3.0283 -2.1850 -3.6514
1.0527 -3.9577 3.2414
Rh Tl Ba
1 3 1
Direct
0.0000 0.0000 0.0000
0.0000 0.5000 0.0000
0.5000 0.0000 0.0000
0.0000 0.0000 0.5000
0.5000 0.5000 0.5000
```

Entry 19:
## BaTl2Rh2 (SCAN)

Data for BaTl2Rh2 at its PBEsol-relaxed geometry.

## Properties
* formation energy from the elements: -1.0 eV per formula unit
* M_tot: 0.00 μB per formula unit
* E: -50.563 eV per atom

```
BaTl2Rh2
1.0
-4.0504 -0.5890 -2.2306
-1.8743 -1.7878 3.8754
1.3625 6.2603 0.7435
Tl Rh Ba
2 2 1
Direct
0.3656 0.3656 0.7312
0.6344 0.6344 0.2688
0.2500 0.7500 0.5000
0.7500 0.2500 0.5000
0.0000 0.0000 0.0000
```

Entry 20:
## Ba2RhW (SCAN)

Data for Ba2RhW at its PBEsol-relaxed geometry.

## Properties
* formation energy from the elements: 5.0 eV per formula unit
* M_tot: 3.59 μB per formula unit
* E: -44.400 eV per atom
* polymorph energy (0 for the lowest one): 0 meV/atom

```
Ba2RhW
1.0
4.5144 0.0000 0.0000
0.0000 4.8426 0.0000
0.0000 0.0000 4.8426
W Ba Rh
1 2 1
Direct
0.5000 0.0000 0.0000
0.0000 0.5000 0.0000
0.0000 0.0000 0.5000
0.5000 0.5000 0.5000
```